Record 1
The following is a DFT calculation (PBE) of a relaxed La2Pm2SmY crystal.

Structure (POSCAR):
```
La2Pm2SmY
1.0
-1.862 3.495 4.223
0.948 -5.264 4.774
9.388 3.111 1.566
Sm Pm La Y
2 4 4 2
direct
0.500 0.257 0.660 Sm
0.500 0.757 0.340 Sm
0.000 0.757 0.165 Pm
0.500 0.258 0.333 Pm
0.500 0.758 0.667 Pm
0.000 0.257 0.835 Pm
0.000 0.258 0.175 La
0.500 0.508 0.000 La
0.500 0.008 0.000 La
0.000 0.758 0.825 La
0.000 0.508 0.500 Y
0.000 0.008 0.500 Y
```

Output
Mass density (g/cm³): 6.4
Symmetry: Pmma (51)
Volume (Å³/atom): 34.6
Total magnetic moment (Bohr magnetons per cell): 0.000
DFT formation energy (kJ per mole of atoms): 5

=====

Record 2
The following is a DFT calculation (PBE) of a relaxed La2PmSm5Y crystal.

Structure (POSCAR):
```
La2PmSm5Y
1.0
-2.261 -5.473 -6.443
6.975 2.560 -4.623
2.082 -4.426 8.972
Sm Y La Pm
10 2 4 2
direct
0.924 0.424 0.284 Sm
0.424 0.360 0.284 Sm
0.000 0.000 0.000 Sm
0.576 0.640 0.716 Sm
0.076 0.576 0.716 Sm
0.640 0.140 0.716 Sm
0.360 0.860 0.284 Sm
0.140 0.076 0.716 Sm
0.860 0.924 0.284 Sm
0.500 0.500 0.000 Sm
0.250 0.750 0.500 Y
0.750 0.250 0.500 Y
0.619 0.119 0.000 La
0.881 0.619 0.000 La
0.381 0.881 0.000 La
0.119 0.381 0.000 La
0.250 0.250 0.500 Pm
0.750 0.750 0.500 Pm
```

Output
Mass density (g/cm³): 6.7
Symmetry: I4/mcm (140)
Volume (Å³/atom): 34.6
Total magnetic moment (Bohr magnetons per cell): 0.001
DFT formation energy (kJ per mole of atoms): 24

=====

Record 3
The following is a DFT calculation (PBE) of a relaxed LaPmSm2Y5 crystal.

Structure (POSCAR):
```
LaPmSm2Y5
1.0
-4.880 -4.201 -5.939
1.115 -7.499 4.388
-4.544 7.359 4.988
Y Pm Sm La
10 2 4 2
direct
0.340 0.840 0.271 Y
0.500 0.500 0.000 Y
0.160 0.070 0.729 Y
0.660 0.160 0.729 Y
0.430 0.340 0.271 Y
0.000 0.000 0.000 Y
0.840 0.930 0.271 Y
0.570 0.660 0.729 Y
0.930 0.430 0.271 Y
0.070 0.570 0.729 Y
0.250 0.250 0.500 Pm
0.750 0.750 0.500 Pm
0.882 0.618 0.000 Sm
0.382 0.882 0.000 Sm
0.118 0.382 0.000 Sm
0.618 0.118 0.000 Sm
0.250 0.750 0.500 La
0.750 0.250 0.500 La
```

Output
Mass density (g/cm³): 5.7
Symmetry: I4/mcm (140)
Volume (Å³/atom): 33.4
Total magnetic moment (Bohr magnetons per cell): 0.001
DFT formation energy (kJ per mole of atoms): 22

=====

Record 4
The following is a DFT calculation (PBE) of a relaxed La5PmSmY2 crystal.

Structure (POSCAR):
```
La5PmSmY2
1.0
9.488 0.000 0.000
0.000 9.488 0.000
-4.744 -4.744 7.221
Y La Pm Sm
4 10 2 2
direct
0.890 0.610 0.000 Y
0.110 0.390 0.000 Y
0.610 0.110 0.000 Y
0.390 0.890 0.000 Y
0.338 0.838 0.275 La
0.500 0.500 0.000 La
0.563 0.662 0.725 La
0.662 0.162 0.725 La
0.162 0.063 0.725 La
0.838 0.937 0.275 La
0.000 0.000 0.000 La
0.063 0.563 0.725 La
0.937 0.437 0.275 La
0.437 0.338 0.275 La
0.250 0.250 0.500 Pm
0.750 0.750 0.500 Pm
0.750 0.250 0.500 Sm
0.250 0.750 0.500 Sm
```

Output
Mass density (g/cm³): 6.0
Symmetry: I4/mcm (140)
Volume (Å³/atom): 36.1
Total magnetic moment (Bohr magnetons per cell): 0.000
DFT formation energy (kJ per mole of atoms): 27

=====

Record 5
The following is a DFT calculation (PBE) of a relaxed LaPmSm3Y crystal.

Structure (POSCAR):
```
LaPmSm3Y
1.0
-3.676 2.940 -2.136
-3.489 -6.646 -3.143
-3.347 3.036 9.940
Sm Y Pm La
6 2 2 2
direct
0.750 0.872 0.041 Sm
0.250 0.624 0.793 Sm
0.750 0.376 0.207 Sm
0.250 0.128 0.959 Sm
0.250 0.624 0.457 Sm
0.750 0.376 0.543 Sm
0.750 0.379 0.876 Y
0.250 0.621 0.124 Y
0.250 0.127 0.627 Pm
0.750 0.873 0.373 Pm
0.250 0.125 0.291 La
0.750 0.875 0.709 La
```

Output
Mass density (g/cm³): 6.7
Symmetry: P2_1/m (11)
Volume (Å³/atom): 34.2
Total magnetic moment (Bohr magnetons per cell): 0.000
DFT formation energy (kJ per mole of atoms): 2

=====

Record 6
The following is a DFT calculation (PBE) of a relaxed La2PmSm6Y crystal.

Structure (POSCAR):
```
La2PmSm6Y
1.0
9.516 -2.242 -2.326
0.699 8.643 -2.054
0.699 -2.373 8.561
La Sm Y Pm
4 12 2 2
direct
0.460 0.807 0.708 La
0.540 0.193 0.292 La
0.960 0.708 0.807 La
0.040 0.292 0.193 La
0.056 0.121 0.739 Sm
0.312 0.979 0.421 Sm
0.812 0.421 0.979 Sm
0.879 0.296 0.504 Sm
0.444 0.261 0.879 Sm
0.556 0.739 0.121 Sm
0.121 0.704 0.496 Sm
0.621 0.496 0.704 Sm
0.379 0.504 0.296 Sm
0.188 0.579 0.021 Sm
0.944 0.879 0.261 Sm
0.688 0.021 0.579 Sm
0.750 0.595 0.405 Y
0.250 0.405 0.595 Y
0.250 0.987 0.013 Pm
0.750 0.013 0.987 Pm
```

Output
Mass density (g/cm³): 6.8
Symmetry: C2/c (15)
Volume (Å³/atom): 34.6
Total magnetic moment (Bohr magnetons per cell): 0.000
DFT formation energy (kJ per mole of atoms): 11